[1]
Here is a relaxed structure of RbReF5 from Alexandria via LeMat-Bulk. Energies are from PBE.

Summary:
energy relative to the elements, uncorrected: -2.283 eV/atom
space-group type: No. 15
E_tot: -77.51 eV/cell

```
RbReF5
1.0
4.975 -3.925 0.000
4.975 3.925 0.000
-2.706 0.000 7.508
Rb Re F
2 2 10
Cartesian
2.946 3.685 5.631
4.299 -3.685 1.877
4.975 0.000 0.000
3.623 0.000 3.754
4.715 1.937 0.233
1.805 0.187 3.059
3.883 1.937 3.521
0.452 -0.187 6.813
2.946 0.486 5.631
4.299 -0.486 1.877
6.793 0.187 0.695
3.362 -1.937 3.988
5.440 -0.187 4.449
2.530 -1.937 7.275
```

[2]
Here is a relaxed structure of Tb4CoS2Cl from Alexandria via LeMat-Bulk. Energies are from PBE.

Summary:
energy relative to the elements, uncorrected: -1.348 eV/atom
space-group type: No. 10
E_tot: -46.51 eV/cell

```
Tb4CoS2Cl
1.0
6.943 0.000 0.000
0.000 3.820 0.000
-2.181 0.000 6.649
Tb Co S Cl
4 1 2 1
Cartesian
1.133 0.000 1.494
0.103 1.910 5.135
4.659 1.910 1.514
3.628 0.000 5.155
0.000 1.910 0.000
3.471 0.000 0.000
2.381 1.910 3.325
-1.091 0.000 3.325
```

[3]
Here is a relaxed structure of Nd9AlTl2 from Alexandria via LeMat-Bulk. Energies are from PBE.

Summary:
space-group type: No. 123
E_tot: -53.69 eV/cell
formation energy: -0.19 eV/atom

```
Nd9AlTl2
1.0
4.963 0.000 0.000
0.000 4.963 0.000
0.000 0.000 14.901
Nd Al Tl
9 1 2
Cartesian
0.000 0.000 0.000
0.000 0.000 4.916
0.000 0.000 9.984
0.000 2.481 2.393
0.000 2.481 7.450
0.000 2.481 12.508
2.481 0.000 2.393
2.481 0.000 7.450
2.481 0.000 12.508
2.481 2.481 0.000
2.481 2.481 4.949
2.481 2.481 9.951
```

[4]
Here is a relaxed structure of NaCuTe3 from Alexandria via LeMat-Bulk. Energies are from PBE.

Summary:
energy relative to the elements, uncorrected: 0.872 eV/atom
E above lowest polymorph: 24.65 kcal/mol of atoms
space-group type: No. 221
E_tot: -10.48 eV/cell

```
NaCuTe3
1.0
5.485 0.000 0.000
0.000 5.485 0.000
0.000 0.000 5.485
Na Cu Te
1 1 3
Cartesian
0.000 0.000 0.000
2.743 2.743 2.743
0.000 0.000 2.743
0.000 2.743 0.000
2.743 0.000 0.000
```

[5]
Here is a relaxed structure of Ac8LaPr5 from Alexandria via LeMat-Bulk. Energies are from PBE.

Summary:
space-group type: No. 5
E_tot: -59.37 eV/cell
formation energy: 0.17 eV/atom

```
Ac8LaPr5
1.0
7.007 -5.921 0.000
7.007 5.921 0.000
-7.002 0.000 7.117
Ac La Pr
8 1 5
Cartesian
-1.460 0.000 2.292
-1.768 -0.330 6.168
1.681 0.754 4.596
5.331 0.754 2.521
3.132 -2.473 1.662
8.780 -0.330 0.949
3.880 -2.473 5.455
8.472 0.000 4.825
3.506 3.465 3.558
1.783 1.275 0.874
7.007 3.202 0.000
0.322 -2.593 4.259
5.229 1.275 6.242
6.690 -2.593 2.858
```

[6]
Here is a relaxed structure of DyNpScO6 from Alexandria via LeMat-Bulk. Energies are from PBE.

Summary:
energy relative to the elements, uncorrected: -3.216 eV/atom
space-group type: No. 163
E_tot: -165.14 eV/cell

```
DyNpScO6
1.0
5.521 0.000 0.000
-2.761 4.782 0.000
0.000 0.000 9.580
Dy Np Sc O
2 2 2 12
Cartesian
0.000 0.000 0.000
0.000 0.000 4.790
0.000 3.188 2.395
2.761 1.594 7.185
0.000 3.188 7.185
2.761 1.594 2.395
-0.934 1.686 1.306
-1.767 3.130 3.484
0.934 1.686 3.484
-0.834 4.747 1.306
1.927 0.035 6.096
0.994 1.652 8.274
1.767 3.130 1.306
0.834 4.747 3.484
3.594 0.035 8.274
1.827 3.095 6.096
4.528 1.652 6.096
3.694 3.095 8.274
```

[7]
Here is a relaxed structure of NdY12Tm3 from Alexandria via LeMat-Bulk. Energies are from PBE.

Summary:
space-group type: No. 123
E_tot: -95.34 eV/cell
formation energy: 0.03 eV/atom

```
NdY12Tm3
1.0
5.039 0.000 0.000
0.000 5.039 0.000
0.000 0.000 20.165
Nd Y Tm
1 12 3
Cartesian
0.000 0.000 0.000
0.000 2.519 2.565
0.000 2.519 7.577
0.000 2.519 12.588
0.000 2.519 17.600
2.519 0.000 2.565
2.519 0.000 7.577
2.519 0.000 12.588
2.519 0.000 17.600
2.519 2.519 0.000
2.519 2.519 5.082
2.519 2.519 10.083
2.519 2.519 15.083
0.000 0.000 5.069
0.000 0.000 10.083
0.000 0.000 15.096
```

[8]
Here is a relaxed structure of PmTm3Ni8 from Alexandria via LeMat-Bulk. Energies are from PBE.

Summary:
E above lowest polymorph: 0.55 kcal/mol of atoms
space-group type: No. 156
E_tot: -69.61 eV/cell
formation energy: -0.43 eV/atom

```
PmTm3Ni8
1.0
5.071 0.000 0.000
-2.536 4.392 0.000
0.000 0.000 8.249
Pm Tm Ni
1 3 8
Cartesian
0.000 0.000 0.000
0.000 0.000 3.101
2.536 1.464 4.100
2.536 1.464 7.164
3.802 2.195 1.557
0.000 1.473 5.623
-1.260 3.655 5.623
0.000 2.928 3.576
0.000 2.928 7.700
2.536 0.001 1.557
1.269 2.195 1.557
1.260 3.655 5.623
```